HgTe2P | GGA-PBE | relaxed

Results
calculated total energy: -9.7 eV per cell
relative energy among the computed polymorphs: 455 meV/atom
SG: F-43m

Unit cell a=5.1761 b=5.1761 c=5.1761 alpha=60.00 beta=60.00 gamma=60.00
Closest atoms and distances in Å follow each position.
Element x y z (fractional)
Hg 0.0000 0.0000 0.0000  4 Te 3.17, 4 P 3.17
Te 0.5000 0.5000 0.5000  4 Te 3.17, 4 P 3.17
Te 0.7500 0.7500 0.7500  4 Hg 3.17, 4 Te 3.17
P 0.2500 0.2500 0.2500  4 Hg 3.17, 4 Te 3.17